[1]
DySi3NiOs PBE relaxed; E = -6.68 eV per atom
1.0
6.539 0.000 0.000
0.000 5.657 0.000
0.000 -2.829 5.499
Dy Si Ni Os
2 6 2 2
direct
0.750 0.283 0.566
0.250 0.717 0.434
0.250 0.176 0.351
0.000 0.277 0.000
0.500 0.723 0.000
0.500 0.277 0.000
0.000 0.723 0.000
0.750 0.824 0.649
0.250 0.975 0.950
0.750 0.025 0.050
0.250 0.387 0.775
0.750 0.613 0.225



[2]
RbNd2GeO5 PBE relaxed; E = -6.77 eV per atom
1.0
6.918 0.000 0.000
0.000 6.918 0.000
-3.459 -3.459 5.902
Rb Nd Ge O
2 4 2 10
direct
0.250 0.250 0.500
0.750 0.750 0.500
0.179 0.321 0.000
0.679 0.179 0.000
0.321 0.821 0.000
0.821 0.679 0.000
0.250 0.750 0.500
0.750 0.250 0.500
0.993 0.493 0.254
0.738 0.238 0.746
0.007 0.507 0.746
0.238 0.007 0.746
0.507 0.738 0.746
0.762 0.993 0.254
0.493 0.262 0.254
0.262 0.762 0.254
0.500 0.500 0.000
0.000 0.000 0.000



[3]
PPtO2F PBE relaxed; E = -4.32 eV per atom
1.0
3.970 0.000 0.000
0.000 3.970 0.000
0.000 0.000 4.078
P O Pt F
1 2 1 1
direct
0.500 0.500 0.500
0.000 0.500 0.000
0.500 0.000 0.000
0.000 0.000 0.000
0.000 0.000 0.500



[4]
CaMg PBE relaxed; E = -1.78 eV per atom; energy of formation = 15.6 meV/atom
1.0
-5.242 -7.235 3.685
8.751 -1.771 -3.701
2.085 0.805 4.546
Ca Mg
6 6
direct
0.826 0.653 0.250
0.174 0.826 0.750
0.347 0.174 0.250
0.174 0.347 0.750
0.826 0.174 0.250
0.653 0.826 0.750
0.440 0.880 0.250
0.560 0.440 0.750
0.120 0.560 0.250
0.560 0.120 0.750
0.440 0.560 0.250
0.880 0.440 0.750



[5]
GdLuPuCd PBE relaxed; E = -8.38 eV per atom; energy of formation = 78.3 meV/atom
1.0
5.368 0.000 0.000
2.684 4.649 0.000
2.684 1.550 4.383
Pu Gd Lu Cd
1 1 1 1
direct
0.000 0.000 0.000
0.250 0.250 0.250
0.750 0.750 0.750
0.500 0.500 0.500



[6]
Sc4CrW PBE relaxed; E = -7.18 eV per atom; energy of formation = 803.8 meV/atom
1.0
1.450 -0.995 5.307
-3.712 0.786 4.106
-2.146 -4.395 2.707
Sc Cr W
4 1 1
direct
0.870 0.377 0.377
0.377 0.377 0.870
0.377 0.870 0.377
0.377 0.377 0.377
0.000 0.000 0.000
0.750 0.750 0.750



[7]
Tb4Bi2SbP PBE relaxed; E = -5.56 eV per atom
1.0
4.318 0.000 0.000
0.000 7.586 -0.186
0.000 2.635 7.065
Tb Bi Sb P
4 2 1 1
direct
0.000 0.734 0.742
0.000 0.266 0.258
0.500 0.727 0.270
0.500 0.273 0.730
0.000 0.000 0.000
0.500 0.000 0.500
0.500 0.500 0.000
0.000 0.500 0.500



[8]
Hf2NpSb PBE relaxed; offset from the most stable computed form = 0.0 meV per atom; E = -9.32 eV per atom
1.0
4.265 0.000 0.000
0.000 4.575 0.000
0.000 0.000 4.575
Np Sb Hf
1 1 2
direct
0.500 0.500 0.500
0.500 0.000 0.000
0.000 0.000 0.500
0.000 0.500 0.000



no.,total moment (μB/cell)
1,0.0
2,1.6
3,0.6
4,0.0
5,0.8
6,3.9
7,0.0
8,4.4